No. 1
K2RbPd | PBE | relaxed

Geometry as POSCAR:
```
K2RbPd
1.0
11.176 0.000 0.000
0.000 11.176 0.000
5.588 5.588 3.440
Rb K Pd
2 4 2
Cartesian
5.588 11.176 1.720
5.588 5.588 0.000
12.530 8.382 0.860
8.382 6.942 2.580
13.970 4.234 2.580
9.822 2.794 0.860
11.176 5.588 1.720
0.000 0.000 0.000
```

---

No. 2
MnZn2Au | PBE | relaxed

Geometry as POSCAR:
```
MnZn2Au
1.0
4.165 0.000 0.000
0.000 2.861 -0.012
0.000 1.404 5.177
Mn Zn Au
1 2 1
Cartesian
2.082 3.374 4.050
0.000 1.950 5.086
2.082 0.524 1.326
0.000 1.954 2.462
```

---

The calculation returns the following formation energy values, one per record and in order: 0.14; -0.03 eV per atom.